No. 1
This record from OQMD describes a geometry-optimized CoSnAu2 structure. The functional is PBE.

Cell: 4.628 4.628 4.628 Å, 60.00 60.00 60.00°
Element x y z (fractional)
Au 0.000 0.000 0.000
Au 0.750 0.750 0.750
Co 0.250 0.250 0.250
Sn 0.500 0.500 0.500

Properties
total magnetization	0.001	μB per atom
symmetry	No. 216
electronic total energy	-0.3102	Ry per atom
theoretical density	13.5	Mg/m³

***

No. 2
This record from OQMD describes a geometry-optimized CoSn2Au structure. The functional is PBE.

Cell: 4.817 4.817 4.817 Å, 60.00 60.00 60.00°
Element x y z (fractional)
Au 0.500 0.500 0.500
Co 0.250 0.250 0.250
Sn 0.000 0.000 0.000
Sn 0.750 0.750 0.750

Properties
total magnetization	0.351	μB per atom
symmetry	No. 216
distance to the lowest polymorph of the same formula	0.00	eV per formula unit
electronic total energy	-0.3067	Ry per atom
theoretical density	10.4	Mg/m³

***

No. 3
This record from OQMD describes a geometry-optimized Co3Sn5Au structure. The functional is PBE.

Cell: 5.302 5.302 7.159 Å, 90.00 90.00 120.00°
Element x y z (fractional)
Au 0.000 0.000 0.000
Co 0.500 0.000 0.500
Co 0.000 0.500 0.500
Co 0.500 0.500 0.500
Sn 0.667 0.333 0.206
Sn 0.333 0.667 0.206
Sn 0.000 0.000 0.500
Sn 0.667 0.333 0.794
Sn 0.333 0.667 0.794

Properties
total magnetization	0.001	μB per atom
symmetry	No. 191
electronic total energy	-0.3638	Ry per atom
theoretical density	9.2	Mg/m³

***

No. 4
This record from OQMD describes a geometry-optimized CoTcSnAu structure. The functional is PBE.

Cell: 4.494 4.494 4.494 Å, 60.00 60.00 60.00°
Element x y z (fractional)
Au 0.500 0.500 0.500
Co 0.750 0.750 0.750
Sn 0.000 0.000 0.000
Tc 0.250 0.250 0.250

Properties
total magnetization	0.517	μB per atom
symmetry	No. 216
distance to the lowest polymorph of the same formula	0.00	eV per formula unit
electronic total energy	-0.4333	Ry per atom
theoretical density	12.2	Mg/m³

***

No. 5
This record from OQMD describes a geometry-optimized CoSnTe3Au structure. The functional is PBE.

Cell: 7.473 7.473 11.057 Å, 90.00 90.00 150.86°
Element x y z (fractional)
Au 0.838 0.162 0.250
Au 0.162 0.838 0.750
Co 0.500 0.500 0.000
Co 0.500 0.500 0.500
Sn 0.194 0.806 0.250
Sn 0.806 0.194 0.750
Te 0.883 0.117 0.006
Te 0.508 0.492 0.250
Te 0.883 0.117 0.494
Te 0.117 0.883 0.506
Te 0.492 0.508 0.750
Te 0.117 0.883 0.994

Properties
total magnetization	0.000	μB per atom
symmetry	No. 63
electronic total energy	-0.2988	Ry per atom
theoretical density	8.4	Mg/m³

***

No. 6
This record from OQMD describes a geometry-optimized YCoSnAu structure. The functional is PBE.

Cell: 4.812 4.812 4.812 Å, 60.00 60.00 60.00°
Element x y z (fractional)
Au 0.500 0.500 0.500
Co 0.750 0.750 0.750
Sn 0.000 0.000 0.000
Y 0.250 0.250 0.250

Properties
total magnetization	0.345	μB per atom
symmetry	No. 216
distance to the lowest polymorph of the same formula	0.47	eV per formula unit
electronic total energy	-0.3977	Ry per atom
theoretical density	9.8	Mg/m³

***

No. 7
This record from OQMD describes a geometry-optimized YCoSnAu structure. The functional is PBE.

Cell: 4.781 4.781 4.781 Å, 60.00 60.00 60.00°
Element x y z (fractional)
Au 0.250 0.250 0.250
Co 0.750 0.750 0.750
Sn 0.000 0.000 0.000
Y 0.500 0.500 0.500

Properties
total magnetization	0.319	μB per atom
symmetry	No. 216
distance to the lowest polymorph of the same formula	0.00	eV per formula unit
electronic total energy	-0.4064	Ry per atom
theoretical density	10.0	Mg/m³

***

No. 8
This record from OQMD describes a geometry-optimized ZnCoSnAu structure. The functional is PBE.

Cell: 4.524 4.524 4.524 Å, 60.00 60.00 60.00°
Element x y z (fractional)
Au 0.250 0.250 0.250
Co 0.750 0.750 0.750
Sn 0.000 0.000 0.000
Zn 0.500 0.500 0.500

Properties
total magnetization	0.212	μB per atom
symmetry	No. 216
distance to the lowest polymorph of the same formula	0.00	eV per formula unit
electronic total energy	-0.2784	Ry per atom
theoretical density	11.2	Mg/m³

***

No. 9
This record from OQMD describes a geometry-optimized SrCoAu2 structure. The functional is PBE.

Cell: 4.830 4.830 4.830 Å, 60.00 60.00 60.00°
Element x y z (fractional)
Au 0.000 0.000 0.000
Au 0.750 0.750 0.750
Co 0.250 0.250 0.250
Sr 0.500 0.500 0.500

Properties
total magnetization	0.405	μB per atom
symmetry	No. 216
electronic total energy	-0.2718	Ry per atom
theoretical density	11.3	Mg/m³

***

No. 10
This record from OQMD describes a geometry-optimized SrCoTe3Au structure. The functional is PBE.

Cell: 7.788 7.788 11.068 Å, 90.00 90.00 150.25°
Element x y z (fractional)
Au 0.886 0.114 0.250
Au 0.114 0.886 0.750
Co 0.500 0.500 0.000
Co 0.500 0.500 0.500
Sr 0.229 0.771 0.250
Sr 0.771 0.229 0.750
Te 0.889 0.111 0.011
Te 0.547 0.453 0.250
Te 0.889 0.111 0.489
Te 0.111 0.889 0.511
Te 0.453 0.547 0.750
Te 0.111 0.889 0.989

Properties
total magnetization	0.000	μB per atom
symmetry	No. 63
electronic total energy	-0.2939	Ry per atom
theoretical density	7.2	Mg/m³

***

No. 11
This record from OQMD describes a geometry-optimized TaCoAu structure. The functional is PBE.

Cell: 4.275 4.275 4.275 Å, 60.00 60.00 60.00°
Element x y z (fractional)
Au 0.250 0.250 0.250
Co 0.750 0.750 0.750
Ta 0.000 0.000 0.000

Properties
ΔH_f (0 K)	50.4	kJ per mole of atoms
total magnetization	0.223	μB per atom
symmetry	No. 216
distance to the lowest polymorph of the same formula	0.78	eV per formula unit
electronic total energy	-0.5061	Ry per atom
theoretical density	13.1	Mg/m³

***

No. 12
This record from OQMD describes a geometry-optimized Ta2Co2Au structure. The functional is PBE.

Cell: 6.934 6.934 3.067 Å, 90.00 90.00 90.00°
Element x y z (fractional)
Au 0.000 0.000 0.000
Au 0.500 0.500 0.000
Co 0.629 0.129 0.000
Co 0.129 0.371 0.000
Co 0.871 0.629 0.000
Co 0.371 0.871 0.000
Ta 0.332 0.168 0.500
Ta 0.832 0.332 0.500
Ta 0.168 0.668 0.500
Ta 0.668 0.832 0.500

Properties
ΔH_f (0 K)	-19.3	kJ per mole of atoms
total magnetization	0.001	μB per atom
symmetry	No. 127
electronic total energy	-0.6201	Ry per atom
theoretical density	15.2	Mg/m³

***

No. 13
This record from OQMD describes a geometry-optimized TaCoAu2 structure. The functional is PBE.

Cell: 4.497 4.497 4.497 Å, 60.00 60.00 60.00°
Element x y z (fractional)
Au 0.000 0.000 0.000
Au 0.750 0.750 0.750
Co 0.250 0.250 0.250
Ta 0.500 0.500 0.500

Properties
ΔH_f (0 K)	12.9	kJ per mole of atoms
total magnetization	0.004	μB per atom
symmetry	No. 216
electronic total energy	-0.4586	Ry per atom
theoretical density	16.4	Mg/m³

***

No. 14
This record from OQMD describes a geometry-optimized Ta2CoAu structure. The functional is PBE.

Cell: 4.503 4.503 4.503 Å, 60.00 60.00 60.00°
Element x y z (fractional)
Au 0.500 0.500 0.500
Co 0.250 0.250 0.250
Ta 0.000 0.000 0.000
Ta 0.750 0.750 0.750

Properties
ΔH_f (0 K)	22.0	kJ per mole of atoms
total magnetization	0.426	μB per atom
symmetry	No. 216
electronic total energy	-0.6094	Ry per atom
theoretical density	15.9	Mg/m³

***

No. 15
This record from OQMD describes a geometry-optimized YTaCoAu structure. The functional is PBE.

Cell: 4.727 4.727 4.727 Å, 60.00 60.00 60.00°
Element x y z (fractional)
Au 0.750 0.750 0.750
Co 0.250 0.250 0.250
Ta 0.500 0.500 0.500
Y 0.000 0.000 0.000

Properties
ΔH_f (0 K)	3.1	kJ per mole of atoms
total magnetization	0.006	μB per atom
symmetry	No. 216
distance to the lowest polymorph of the same formula	0.00	eV per formula unit
electronic total energy	-0.5248	Ry per atom
theoretical density	11.7	Mg/m³

***

No. 16
This record from OQMD describes a geometry-optimized YTaCoAu structure. The functional is PBE.

Cell: 4.625 4.625 4.625 Å, 60.00 60.00 60.00°
Element x y z (fractional)
Au 0.750 0.750 0.750
Co 0.500 0.500 0.500
Ta 0.250 0.250 0.250
Y 0.000 0.000 0.000

Properties
ΔH_f (0 K)	16.9	kJ per mole of atoms
total magnetization	0.000	μB per atom
symmetry	No. 216
distance to the lowest polymorph of the same formula	0.57	eV per formula unit
electronic total energy	-0.5143	Ry per atom
theoretical density	12.5	Mg/m³

***

No. 17
This record from OQMD describes a geometry-optimized TaZnCoAu structure. The functional is PBE.

Cell: 4.418 4.418 4.418 Å, 60.00 60.00 60.00°
Element x y z (fractional)
Au 0.250 0.250 0.250
Co 0.750 0.750 0.750
Ta 0.500 0.500 0.500
Zn 0.000 0.000 0.000

Properties
ΔH_f (0 K)	3.4	kJ per mole of atoms
total magnetization	0.261	μB per atom
symmetry	No. 216
distance to the lowest polymorph of the same formula	0.00	eV per formula unit
electronic total energy	-0.4291	Ry per atom
theoretical density	13.7	Mg/m³

***

No. 18
This record from OQMD describes a geometry-optimized TaZnCoAu structure. The functional is PBE.

Cell: 4.401 4.401 4.401 Å, 60.00 60.00 60.00°
Element x y z (fractional)
Au 0.500 0.500 0.500
Co 0.750 0.750 0.750
Ta 0.250 0.250 0.250
Zn 0.000 0.000 0.000

Properties
ΔH_f (0 K)	15.5	kJ per mole of atoms
total magnetization	0.062	μB per atom
symmetry	No. 216
distance to the lowest polymorph of the same formula	0.50	eV per formula unit
electronic total energy	-0.4198	Ry per atom
theoretical density	13.8	Mg/m³

***

No. 19
This record from OQMD describes a geometry-optimized Co2TcAu structure. The functional is PBE.

Cell: 4.275 4.275 4.275 Å, 60.00 60.00 60.00°
Element x y z (fractional)
Au 0.500 0.500 0.500
Co 0.000 0.000 0.000
Co 0.250 0.250 0.250
Tc 0.750 0.750 0.750

Properties
ΔH_f (0 K)	51.5	kJ per mole of atoms
total magnetization	0.616	μB per atom
symmetry	No. 216
electronic total energy	-0.4723	Ry per atom
theoretical density	12.4	Mg/m³

***

No. 20
This record from OQMD describes a geometry-optimized TlCoTcAu structure. The functional is PBE.

Cell: 4.541 4.541 4.541 Å, 60.00 60.00 60.00°
Element x y z (fractional)
Au 0.500 0.500 0.500
Co 0.750 0.750 0.750
Tc 0.250 0.250 0.250
Tl 0.000 0.000 0.000

Properties
total magnetization	0.690	μB per atom
symmetry	No. 216
distance to the lowest polymorph of the same formula	0.00	eV per formula unit
electronic total energy	-0.3792	Ry per atom
theoretical density	14.0	Mg/m³

***

No. 21
This record from OQMD describes a geometry-optimized ZnCoTcAu structure. The functional is PBE.

Cell: 4.378 4.378 4.378 Å, 60.00 60.00 60.00°
Element x y z (fractional)
Au 0.250 0.250 0.250
Co 0.750 0.750 0.750
Tc 0.500 0.500 0.500
Zn 0.000 0.000 0.000

Properties
ΔH_f (0 K)	32.2	kJ per mole of atoms
total magnetization	0.764	μB per atom
symmetry	No. 216
distance to the lowest polymorph of the same formula	0.00	eV per formula unit
electronic total energy	-0.3797	Ry per atom
theoretical density	11.7	Mg/m³

***

No. 22
This record from OQMD describes a geometry-optimized Co2TeAu structure. The functional is PBE.

Cell: 4.498 4.498 4.498 Å, 60.00 60.00 60.00°
Element x y z (fractional)
Au 0.250 0.250 0.250
Co 0.000 0.000 0.000
Co 0.750 0.750 0.750
Te 0.500 0.500 0.500

Properties
total magnetization	0.633	μB per atom
symmetry	No. 216
electronic total energy	-0.3374	Ry per atom
theoretical density	11.4	Mg/m³

***

No. 23
This record from OQMD describes a geometry-optimized CoTeAu structure. The functional is PBE.

Cell: 4.333 4.333 4.333 Å, 60.00 60.00 60.00°
Element x y z (fractional)
Au 0.250 0.250 0.250
Co 0.000 0.000 0.000
Te 0.750 0.750 0.750

Properties
total magnetization	0.298	μB per atom
symmetry	No. 216
distance to the lowest polymorph of the same formula	0.00	eV per formula unit
electronic total energy	-0.3204	Ry per atom
theoretical density	11.1	Mg/m³

***

No. 24
This record from OQMD describes a geometry-optimized TlCoTe3Au structure. The functional is PBE.

Cell: 7.858 7.858 10.952 Å, 90.00 90.00 28.21°
Element x y z (fractional)
Au 0.375 0.375 0.250
Au 0.625 0.625 0.750
Co 0.000 0.000 0.000
Co 0.000 0.000 0.500
Te 0.389 0.389 0.005
Te 0.024 0.024 0.250
Te 0.389 0.389 0.495
Te 0.611 0.611 0.505
Te 0.976 0.976 0.750
Te 0.611 0.611 0.995
Tl 0.726 0.726 0.250
Tl 0.274 0.274 0.750

Properties
total magnetization	0.004	μB per atom
symmetry	No. 63
electronic total energy	-0.2771	Ry per atom
theoretical density	8.8	Mg/m³

***

No. 25
This record from OQMD describes a geometry-optimized ThCoAu structure. The functional is PBE.

Cell: 4.531 4.531 4.531 Å, 60.00 60.00 60.00°
Element x y z (fractional)
Au 0.250 0.250 0.250
Co 0.000 0.000 0.000
Th 0.750 0.750 0.750

Properties
ΔH_f (0 K)	-28.2	kJ per mole of atoms
total magnetization	0.001	μB per atom
symmetry	No. 216
electronic total energy	-0.4572	Ry per atom
theoretical density	12.3	Mg/m³

***

No. 26
This record from OQMD describes a geometry-optimized Th2Co2Au structure. The functional is PBE.

Cell: 7.383 7.383 3.688 Å, 90.00 90.00 90.00°
Element x y z (fractional)
Au 0.000 0.000 0.000
Au 0.500 0.500 0.000
Co 0.628 0.128 0.000
Co 0.128 0.372 0.000
Co 0.872 0.628 0.000
Co 0.372 0.872 0.000
Th 0.327 0.173 0.500
Th 0.827 0.327 0.500
Th 0.173 0.673 0.500
Th 0.673 0.827 0.500

Properties
ΔH_f (0 K)	-44.4	kJ per mole of atoms
total magnetization	0.001	μB per atom
symmetry	No. 127
electronic total energy	-0.5087	Ry per atom
theoretical density	12.9	Mg/m³

***

No. 27
This record from OQMD describes a geometry-optimized Tl2CoAu structure. The functional is PBE.

Cell: 4.937 4.937 4.937 Å, 60.00 60.00 60.00°
Element x y z (fractional)
Au 0.500 0.500 0.500
Co 0.250 0.250 0.250
Tl 0.000 0.000 0.000
Tl 0.750 0.750 0.750

Properties
total magnetization	0.384	μB per atom
symmetry	No. 216
electronic total energy	-0.2362	Ry per atom
theoretical density	13.0	Mg/m³

***

No. 28
This record from OQMD describes a geometry-optimized TlCoWAu structure. The functional is PBE.

Cell: 4.546 4.546 4.546 Å, 60.00 60.00 60.00°
Element x y z (fractional)
Au 0.500 0.500 0.500
Co 0.750 0.750 0.750
Tl 0.000 0.000 0.000
W 0.250 0.250 0.250

Properties
total magnetization	0.107	μB per atom
symmetry	No. 216
distance to the lowest polymorph of the same formula	0.09	eV per formula unit
electronic total energy	-0.4090	Ry per atom
theoretical density	16.1	Mg/m³